An optimized crystal structure of PmZn6Ni4. Source: Alexandria via LeMat-Bulk, functional PBE-GGA.

Values from the calculation:
total magnetization = 0.000 μB per atom
DFT formation energy = -0.161 eV per atom

a = 6.3075 Å, b = 6.3075 Å, c = 8.9824 Å
α = 90.00°, β = 90.00°, γ = 90.00°
Space group I-42m (No. 121)
Inequivalent atoms, fractional coordinates:
Pm 0.0000 0.0000 0.0000
Zn 0.0000 0.5000 0.0000
Zn 0.1917 0.1917 0.7040
Ni 0.1611 0.1611 0.4259


An optimized crystal structure of Ba2YP2N6. Source: Alexandria via LeMat-Bulk, functional PBE-GGA.

Values from the calculation:
total magnetization = 0.000 μB per atom
uncorrected formation energy = -0.858 eV/atom

a = 5.8849 Å, b = 5.8849 Å, c = 18.4334 Å
α = 90.00°, β = 90.00°, γ = 120.00°
Space group R-3m (No. 166, hexagonal axes)
Inequivalent atoms, fractional coordinates:
Ba 0.0000 0.0000 0.2128
Y 0.0000 0.0000 0.0000
P 0.0000 0.0000 0.4144
N 0.0233 0.5117 0.2515


An optimized crystal structure of P3C5. Source: Alexandria via LeMat-Bulk, functional PBE-GGA.

Values from the calculation:
offset from the most stable computed form = 167 meV per atom
total magnetization = 0.000 μB per atom
DFT formation energy = 1.253 eV per atom

a = 4.9002 Å, b = 7.7244 Å, c = 5.7553 Å
α = 90.00°, β = 107.78°, γ = 90.00°
Space group P2_1/m (No. 11)
Inequivalent atoms, fractional coordinates:
P 0.0369 0.2500 0.3772
P 0.2210 0.2500 0.9976
P 0.3794 0.7500 0.2559
C 0.1240 0.7500 0.9927
C 0.2739 0.2500 0.7219
C 0.3721 0.7500 0.5691
C 0.3773 0.1392 0.2871


no.,V (Å³ per atom)
1,16.244
2,16.753
3,12.965